Record 1
Entry from the Alexandria database: a relaxed NiCI2O crystal (PBE with a Hubbard U).

a = 5.5980 Å, b = 5.5980 Å, c = 3.1714 Å
α = 90.00°, β = 90.00°, γ = 90.00°
Site moments in Bohr magnetons follow the coordinates.
Atoms (fractional coordinates):
O 0.0000 0.0000 0.5000  0.00
C 0.0000 0.0000 0.0000  0.00
I 0.0000 0.5000 0.0000  -0.01
Ni 0.5000 0.5000 0.5000  0.98
I 0.5000 0.0000 0.0000  -0.01

Results
The total magnetic moment comes out at 0.20 μB/atom. The electronic total energy comes out at -14.14 eV/cell. The value obtained for the energy relative to the lowest polymorph listed for this composition is 0.0 meV per atom. As for the symmetry: P4/mmm. For the volume, the calculation gives 19.9 Å³ per atom.


Record 2
Entry from the Alexandria database: a relaxed NiCI2O crystal (PBE with a Hubbard U).

a = 5.5395 Å, b = 5.5395 Å, c = 3.5187 Å
α = 90.00°, β = 90.00°, γ = 90.00°
Site moments in Bohr magnetons follow the coordinates.
Atoms (fractional coordinates):
I 0.5000 0.0000 0.0000  -0.01
I 0.0000 0.5000 0.0000  -0.01
O 0.0000 0.0000 0.5000  0.52
C 0.5000 0.5000 0.5000  0.69
Ni 0.0000 0.0000 0.0000  1.38

Results
The total magnetic moment comes out at 0.66 μB/atom. The electronic total energy comes out at -12.69 eV/cell. The value obtained for the energy relative to the lowest polymorph listed for this composition is 290.0 meV per atom. As for the symmetry: P4/mmm. For the volume, the calculation gives 21.6 Å³ per atom.